Entry 1:
The following is a PBE-GGA calculation of crystalline Dy8CuTc2 at its relaxed geometry, from Alexandria.

Unit cell a=5.843 b=7.645 c=7.645 alpha=112.52 beta=100.56 gamma=100.56
Positions (direct):
Dy: 0.990 0.788 0.222
Dy: 0.990 0.222 0.788
Dy: 0.388 0.665 0.928
Dy: 0.183 0.370 0.370
Dy: 0.586 0.348 0.082
Dy: 0.388 0.928 0.665
Tc: 0.479 0.312 0.693
Tc: 0.479 0.693 0.312
Dy: 0.788 0.629 0.629
Dy: 0.586 0.082 0.348
Cu: 0.142 0.997 0.997

Output
Energy relative to the elements, kcal/mol of atoms: -0.33
Crystal system: monoclinic

Entry 2:
The following is a PBE-GGA calculation of crystalline CuAsHSe2 at its relaxed geometry, from Alexandria.

Unit cell a=3.472 b=6.249 c=4.065 alpha=90.00 beta=90.00 gamma=90.00
Positions (direct):
Se: 0.000 0.500 0.000
H: 0.000 0.000 0.000
Cu: 0.500 0.000 0.000
Se: 0.500 0.500 0.500
As: 0.000 0.000 0.500

Output
Polymorph energy (0 for the lowest one), kJ per mole of atoms: 0.00
Crystal system: orthorhombic